(1)
RbP2SeO, optimized geometry, DFT PBE-GGA; E above lowest polymorph = 1279 meV/atom; SG = P4/mmm, No. 123; raw formation energy = 166.59 kJ per mole of atoms
1.0
6.141 0.000 0.000
0.000 6.141 0.000
0.000 0.000 4.355
Rb P Se O
1 2 1 1
direct
0.000 0.000 0.000
0.000 0.500 0.000
0.500 0.000 0.000
0.500 0.500 0.500
0.000 0.000 0.500

---

(2)
RbSiP2O, optimized geometry, DFT PBE-GGA; E above lowest polymorph = 0 meV/atom; SG = P4/mmm, No. 123; raw formation energy = -3.86 kJ per mole of atoms
1.0
5.316 0.000 0.000
0.000 5.316 0.000
0.000 0.000 3.342
Rb Si P O
1 1 2 1
direct
0.000 0.000 0.000
0.500 0.500 0.500
0.000 0.500 0.500
0.500 0.000 0.500
0.500 0.500 0.000

---

(3)
RbSiP2O, optimized geometry, DFT PBE-GGA; E above lowest polymorph = 1911 meV/atom; SG = P4/mmm, No. 123; raw formation energy = 180.54 kJ per mole of atoms
1.0
5.365 0.000 0.000
0.000 5.365 0.000
0.000 0.000 4.257
Rb Si P O
1 1 2 1
direct
0.000 0.000 0.000
0.500 0.500 0.500
0.000 0.500 0.000
0.500 0.000 0.000
0.000 0.000 0.500

---

(4)
RbSmP4O12, optimized geometry, DFT PBE-GGA; SG = C2/c, No. 15; raw formation energy = -236.61 kJ per mole of atoms
1.0
4.015 -6.520 0.000
4.015 6.520 0.000
-3.906 0.000 10.005
Rb Sm P O
2 2 8 24
direct
0.193 0.807 0.750
0.807 0.193 0.250
0.123 0.877 0.250
0.877 0.123 0.750
0.251 0.305 0.549
0.293 0.619 0.012
0.305 0.251 0.049
0.381 0.707 0.488
0.619 0.293 0.512
0.695 0.749 0.951
0.707 0.381 0.988
0.749 0.695 0.451
0.100 0.484 0.895
0.140 0.161 0.408
0.161 0.140 0.908
0.167 0.252 0.660
0.205 0.691 0.386
0.252 0.167 0.160
0.276 0.526 0.553
0.309 0.795 0.114
0.359 0.489 0.091
0.474 0.724 0.947
0.484 0.100 0.395
0.489 0.359 0.591
0.511 0.641 0.409
0.516 0.900 0.605
0.526 0.276 0.053
0.641 0.511 0.909
0.691 0.205 0.886
0.724 0.474 0.447
0.748 0.833 0.840
0.795 0.309 0.614
0.833 0.748 0.340
0.839 0.860 0.092
0.860 0.839 0.592
0.900 0.516 0.105

---

(5)
RbSmP2O8, optimized geometry, DFT PBE-GGA; SG = P-3, No. 147; raw formation energy = -219.69 kJ per mole of atoms
1.0
5.682 0.000 0.000
-2.841 4.921 0.000
0.000 0.000 8.222
Rb Sm P O
1 1 2 8
direct
0.000 0.000 0.000
0.000 0.000 0.500
0.333 0.667 0.733
0.667 0.333 0.267
0.182 0.812 0.673
0.188 0.370 0.673
0.333 0.667 0.922
0.370 0.182 0.327
0.630 0.818 0.673
0.667 0.333 0.078
0.812 0.630 0.327
0.818 0.188 0.327

---

(6)
RbSmP2O6, optimized geometry, DFT PBE-GGA; SG = C2/c, No. 15; raw formation energy = -245.04 kJ per mole of atoms
1.0
3.902 -5.645 0.000
3.902 5.645 0.000
-0.646 0.000 8.521
Rb Sm P O
2 2 4 12
direct
0.084 0.916 0.750
0.916 0.084 0.250
0.334 0.666 0.250
0.666 0.334 0.750
0.250 0.511 0.815
0.489 0.750 0.685
0.511 0.250 0.315
0.750 0.489 0.185
0.029 0.450 0.734
0.259 0.605 0.983
0.326 0.329 0.305
0.329 0.326 0.805
0.395 0.741 0.517
0.450 0.029 0.234
0.550 0.971 0.766
0.605 0.259 0.483
0.671 0.674 0.195
0.674 0.671 0.695
0.741 0.395 0.017
0.971 0.550 0.266

---

(7)
Rb3SmP2O8, optimized geometry, DFT PBE-GGA; SG = P-3m1, No. 164; raw formation energy = -245.69 kJ per mole of atoms
1.0
5.818 0.000 0.000
-2.909 5.038 0.000
0.000 0.000 8.288
Rb Sm P O
3 1 2 8
direct
0.000 0.000 0.000
0.333 0.667 0.755
0.667 0.333 0.245
0.000 0.000 0.500
0.333 0.667 0.270
0.667 0.333 0.730
0.187 0.375 0.336
0.187 0.813 0.336
0.333 0.667 0.086
0.375 0.187 0.664
0.625 0.813 0.336
0.667 0.333 0.914
0.813 0.187 0.664
0.813 0.625 0.664

---

(8)
RbSnP2O6, optimized geometry, DFT PBE-GGA; SG = C2/c, No. 15; raw formation energy = -166.13 kJ per mole of atoms
1.0
5.456 -5.195 0.000
5.456 5.195 0.000
-1.903 0.000 6.056
Rb Sn P O
2 2 4 12
direct
0.120 0.880 0.750
0.880 0.120 0.250
0.339 0.661 0.250
0.661 0.339 0.750
0.157 0.335 0.781
0.335 0.157 0.281
0.665 0.843 0.719
0.843 0.665 0.219
0.049 0.704 0.292
0.209 0.536 0.856
0.214 0.263 0.117
0.263 0.214 0.617
0.296 0.951 0.208
0.464 0.791 0.644
0.536 0.209 0.356
0.704 0.049 0.792
0.737 0.786 0.383
0.786 0.737 0.883
0.791 0.464 0.144
0.951 0.296 0.708

---

(9)
RbSnPO2, optimized geometry, DFT PBE-GGA; E above lowest polymorph = 1364 meV/atom; SG = P4/mmm, No. 123; raw formation energy = 92.65 kJ per mole of atoms
1.0
4.409 0.000 0.000
0.000 4.409 0.000
0.000 0.000 5.588
Rb Sn P O
1 1 1 2
direct
0.000 0.000 0.000
0.500 0.500 0.500
0.000 0.000 0.500
0.000 0.500 0.000
0.500 0.000 0.000

---

(10)
RbSnPO2, optimized geometry, DFT PBE-GGA; E above lowest polymorph = 0 meV/atom; SG = P4/mmm, No. 123; raw formation energy = -38.92 kJ per mole of atoms
1.0
4.327 0.000 0.000
0.000 4.327 0.000
0.000 0.000 5.201
Rb Sn P O
1 1 1 2
direct
0.000 0.000 0.000
0.500 0.500 0.500
0.500 0.500 0.000
0.000 0.500 0.500
0.500 0.000 0.500

---

(11)
RbSnP2O8, optimized geometry, DFT PBE-GGA; SG = P-3, No. 147; raw formation energy = -187.99 kJ per mole of atoms
1.0
5.075 0.000 0.000
-2.538 4.395 0.000
0.000 0.000 8.607
Rb Sn P O
1 1 2 8
direct
0.000 0.000 0.000
0.000 0.000 0.500
0.333 0.667 0.702
0.667 0.333 0.298
0.073 0.354 0.644
0.281 0.927 0.644
0.333 0.667 0.880
0.354 0.281 0.356
0.646 0.719 0.644
0.667 0.333 0.120
0.719 0.073 0.356
0.927 0.646 0.356

---

(12)
RbSn2P3O12, optimized geometry, DFT PBE-GGA; SG = R-3, No. 148; raw formation energy = -200.22 kJ per mole of atoms
1.0
4.234 2.445 8.116
-4.234 2.445 8.116
0.000 -4.890 8.116
Rb Sn P O
2 4 6 24
direct
0.000 0.000 0.000
0.500 0.500 0.500
0.150 0.150 0.150
0.344 0.344 0.344
0.656 0.656 0.656
0.850 0.850 0.850
0.039 0.462 0.748
0.252 0.961 0.538
0.462 0.748 0.039
0.538 0.252 0.961
0.748 0.039 0.462
0.961 0.538 0.252
0.022 0.626 0.761
0.104 0.881 0.728
0.119 0.272 0.896
0.153 0.526 0.210
0.181 0.466 0.545
0.210 0.153 0.526
0.239 0.978 0.374
0.272 0.896 0.119
0.374 0.239 0.978
0.455 0.819 0.534
0.466 0.545 0.181
0.474 0.790 0.847
0.526 0.210 0.153
0.534 0.455 0.819
0.545 0.181 0.466
0.626 0.761 0.022
0.728 0.104 0.881
0.761 0.022 0.626
0.790 0.847 0.474
0.819 0.534 0.455
0.847 0.474 0.790
0.881 0.728 0.104
0.896 0.119 0.272
0.978 0.374 0.239